(1)
Density functional theory data (PBE) for Cu4Ag after structural relaxation.

Calculated values
For the energy relative to the lowest polymorph listed for this composition, the calculation gives 24 meV per atom. The calculation puts the calculated formation energy at 0.07 eV/atom.

Cell lengths 3.7471, 18.5789, 3.7456 Å; angles 90.00, 90.00, 90.00 degrees
With the nearest neighbours (Å) after each atom.
Space group Cmcm (No. 63)
Symmetry-distinct sites (fractional):
Cu  0.0000  0.0460  0.2500 x4  10 Cu 2.53-2.68, 2 Ag 2.67
Cu  0.0000  0.1490  0.7500 x4  4 Ag 2.65, 8 Cu 2.65-2.68
Cu  0.0000  0.2500  0.2500 x4  8 Cu 2.65, 4 Ag 2.66
Cu  0.0000  0.4541  0.2500 x4  10 Cu 2.53-2.68, 2 Ag 2.67
Ag  0.0000  0.3519  0.7500 x4  12 Cu 2.65-2.67

(2)
Density functional theory data (PBE) for YZnSi after structural relaxation.

Calculated values
The calculation puts the electronic total energy at -4.344 eV/atom.

Cell lengths 6.6160, 6.6160, 6.6160 Å; angles 90.00, 90.00, 90.00 degrees
With the nearest neighbours (Å) after each atom.
Space group F-43m (No. 216)
Symmetry-distinct sites (fractional):
Y  0.0000  0.0000  0.0000 x4  4 Si 2.86, 4 Zn 2.86
Zn  0.2500  0.2500  0.2500 x4  4 Y 2.86
Si  0.2500  0.2500  0.7500 x4  4 Y 2.86

(3)
Density functional theory data (PBE) for TaFeCuSb after structural relaxation.

Calculated values
For the energy relative to the lowest polymorph listed for this composition, the calculation gives 153 meV per atom.

Cell lengths 6.3531, 6.3531, 6.3531 Å; angles 90.00, 90.00, 90.00 degrees
With the nearest neighbours (Å) after each atom.
Space group F-43m (No. 216)
Symmetry-distinct sites (fractional):
Ta  0.0000  0.0000  0.0000 x4  4 Fe 2.75, 4 Sb 2.75
Fe  0.2500  0.2500  0.7500 x4  4 Cu 2.75, 4 Ta 2.75
Cu  0.0000  0.0000  0.5000 x4  4 Sb 2.75, 4 Fe 2.75
Sb  0.2500  0.2500  0.2500 x4  4 Ta 2.75, 4 Cu 2.75

(4)
Density functional theory data (PBE) for MgZnCu4Si2 after structural relaxation.

Calculated values
The calculation puts the electronic total energy at -3.545 eV/atom.

Cell lengths 4.1237, 4.1237, 6.1993 Å; angles 90.00, 90.00, 90.00 degrees
With the nearest neighbours (Å) after each atom.
Space group P4/mmm (No. 123)
Symmetry-distinct sites (fractional):
Mg  0.0000  0.0000  0.0000 x1  8 Cu 2.63, 4 Si 2.92
Zn  0.5000  0.5000  0.5000 x1  8 Cu 2.53
Cu  0.0000  0.5000  0.2623 x4  2 Zn 2.53, 4 Si 2.53-2.63, 2 Mg 2.63
Si  0.0000  0.0000  0.5000 x1  8 Cu 2.53
Si  0.5000  0.5000  0.0000 x1  8 Cu 2.63, 4 Mg 2.92

(5)
Density functional theory data (PBE) for HoAgSnTe3 after structural relaxation.

Calculated values
For the energy relative to the lowest polymorph listed for this composition, the calculation gives 6 meV per atom.

Cell lengths 8.2518, 4.3229, 10.6103 Å; angles 90.00, 106.32, 90.00 degrees
With the nearest neighbours (Å) after each atom.
Space group P2_1/m (No. 11)
Symmetry-distinct sites (fractional):
Ho  0.2014  0.2500  0.1705 x2  6 Te 3.05-3.11
Ag  0.4130  0.7500  0.4100 x2  4 Te 2.79-3.04, 2 Ag 2.97
Sn  0.2296  0.7500  0.7027 x2  7 Te 3.24-3.54
Te  0.0763  0.2500  0.8658 x2  3 Ho 3.09-3.11, 2 Sn 3.24
Te  0.2071  0.2500  0.4640 x2  3 Ag 2.90-3.04, 1 Ho 3.10
Te  0.4573  0.7500  0.1583 x2  1 Ag 2.79, 2 Ho 3.05

(6)
Density functional theory data (PBE) for Lu4PbAuC2 after structural relaxation.

Calculated values
The calculation puts the electronic total energy at -6.010 eV/atom.

Cell lengths 3.5717, 3.5717, 14.6755 Å; angles 90.00, 90.00, 120.00 degrees
With the nearest neighbours (Å) after each atom.
Space group P-6m2 (No. 187)
Symmetry-distinct sites (fractional):
Lu  0.0000  0.0000  0.1468 x2  3 C 2.43
Lu  0.6667  0.3333  0.3213 x2  3 C 2.42
Pb  0.0000  0.0000  0.5000 x1  6 Lu 3.34, 6 Pb 3.57
Au  0.6667  0.3333  0.0000 x1  6 Lu 2.98
C  0.3333  0.6667  0.2348 x2  6 Lu 2.42-2.43

(7)
Density functional theory data (PBE) for Gd2Ga5Hg after structural relaxation.

Calculated values
The calculation puts the electronic total energy at -3.581 eV/atom.

Cell lengths 4.6013, 6.4754, 11.0168 Å; angles 90.00, 90.00, 90.00 degrees
With the nearest neighbours (Å) after each atom.
Space group Amm2 (No. 38)
Symmetry-distinct sites (fractional):
Gd  0.0000  0.0000  0.0000 x2  10 Ga 3.04-3.30, 2 Hg 3.05
Gd  0.5000  0.0000  0.3223 x2  10 Ga 3.10-3.22, 2 Hg 3.24
Ga  0.0000  0.0000  0.5121 x2  6 Ga 2.79-2.82, 2 Gd 3.11
Ga  0.0000  0.2208  0.7300 x4  4 Ga 2.79-2.86, 2 Hg 2.88, 3 Gd 3.10-3.11
Ga  0.5000  0.2235  0.5797 x4  5 Ga 2.82-2.89, 1 Hg 3.01, 2 Gd 3.04
Hg  0.5000  0.0000  0.8188 x2  6 Ga 2.88-3.01, 2 Gd 3.05

(8)
Density functional theory data (PBE) for HfTl4S4 after structural relaxation.

Calculated values
The calculation puts the electronic total energy at -4.793 eV/atom.

Cell lengths 9.2344, 9.2368, 15.7120 Å; angles 76.06, 75.49, 89.94 degrees
With the nearest neighbours (Å) after each atom.
Space group P-1 (No. 2)
Symmetry-distinct sites (fractional):
Hf  0.0000  0.0000  0.0000 x1  6 S 2.57-2.59
Hf  0.0152  0.1798  0.4010 x2  6 S 2.52-2.63
Hf  0.1710  0.8129  0.8014 x2  6 S 2.51-2.66
Tl  0.0422  0.5734  0.2013 x2  3 S 2.87-3.11
Tl  0.2111  0.2186  0.5991 x2  3 S 2.96-3.02
Tl  0.2157  0.5855  0.4031 x2  4 S 2.89-3.23
Tl  0.2192  0.3952  0.0088 x2  3 S 2.93-3.09
Tl  0.2218  0.9526  0.2039 x2  3 S 2.93-3.00
Tl  0.3716  0.6002  0.6132 x2  3 S 2.92-2.97
Tl  0.3841  0.2002  0.8096 x2  3 S 2.92-2.97
Tl  0.3895  0.7859  0.9965 x2  3 S 2.89-3.03
Tl  0.4123  0.9689  0.4027 x2  3 S 2.88-3.13
Tl  0.4191  0.3899  0.2022 x2  3 S 2.89-3.17
S  0.0629  0.5586  0.5956 x2  1 Hf 2.53
S  0.0714  0.8979  0.4240 x2  2 Hf 2.58-2.61
S  0.0749  0.7394  0.9778 x2  2 Hf 2.58-2.61
S  0.0846  0.0787  0.8243 x2  2 Hf 2.59-2.66
S  0.0911  0.2343  0.2255 x2  2 Hf 2.59-2.61
S  0.2382  0.5474  0.8082 x2  1 Hf 2.51
S  0.2441  0.8880  0.6257 x2  2 Hf 2.59-2.63
S  0.2666  0.0716  0.0038 x2  1 Hf 2.57
S  0.2801  0.2526  0.3968 x2  1 Hf 2.52
S  0.4351  0.8863  0.8001 x2  1 Hf 2.53